Record 1
Compound: La2GePd3
Source: Alexandria
Functional: PBE
Structure: relaxed

Cell lengths 4.476, 4.476, 15.948 Å; angles 90.00, 90.00, 120.00 degrees
Fractional coordinates of all 12 atoms:
La (0.000, 0.000, 0.125)
La (0.000, 0.000, 0.375)
La (0.000, 0.000, 0.625)
La (0.000, 0.000, 0.875)
Ge (0.333, 0.667, 0.250)
Ge (0.667, 0.333, 0.750)
Pd (0.333, 0.667, 0.000)
Pd (0.333, 0.667, 0.500)
Pd (0.333, 0.667, 0.750)
Pd (0.667, 0.333, 0.000)
Pd (0.667, 0.333, 0.250)
Pd (0.667, 0.333, 0.500)

Values from the calculation:
**Calculated formation energy**: -5.0 eV per formula unit
**DOS at the Fermi energy**: 0.549 states/eV per atom

---

Record 2
Compound: CrAg2W
Source: Alexandria
Functional: PBE
Structure: relaxed

Cell lengths 2.789, 2.789, 8.433 Å; angles 90.00, 90.00, 90.00 degrees
Fractional coordinates of all 4 atoms:
Cr (0.000, 0.000, 0.000)
Ag (0.000, 0.000, 0.484)
Ag (0.500, 0.500, 0.750)
W (0.500, 0.500, 0.221)

Values from the calculation:
**Calculated formation energy**: 1.9 eV per formula unit
**DOS at the Fermi energy**: 1.050 states/eV per atom

---

Record 3
Compound: CeMgScZn
Source: Alexandria
Functional: PBE
Structure: relaxed

Cell lengths 5.079, 5.079, 5.079 Å; angles 60.00, 60.00, 60.00 degrees
Fractional coordinates of all 4 atoms:
Ce (0.000, 0.000, 0.000)
Mg (0.750, 0.750, 0.750)
Sc (0.500, 0.500, 0.500)
Zn (0.250, 0.250, 0.250)

Values from the calculation:
**Calculated formation energy**: -0.4 eV per formula unit
**DOS at the Fermi energy**: 1.689 states/eV per atom

---

Record 4
Compound: Sr2Sb2O7
Source: Alexandria
Functional: PBE
Structure: relaxed

Cell lengths 5.181, 5.181, 5.653 Å; angles 90.00, 90.00, 99.38 degrees
Fractional coordinates of all 11 atoms:
Sr (0.236, 0.236, 0.000)
Sr (0.764, 0.764, 0.000)
Sb (0.282, 0.718, 0.500)
Sb (0.718, 0.282, 0.500)
O (0.000, 0.000, 0.500)
O (0.000, 0.500, 0.274)
O (0.000, 0.500, 0.726)
O (0.500, 0.000, 0.274)
O (0.500, 0.000, 0.726)
O (0.500, 0.500, 0.286)
O (0.500, 0.500, 0.714)

Values from the calculation:
**Formation energy (no corrections)**: -169.2 kJ/mol of atoms
**DOS at the Fermi energy**: 0.176 states/eV per atom

---

Record 5
Compound: Cs2IClF6
Source: Alexandria
Functional: PBE
Structure: relaxed

Cell lengths 13.147, 13.147, 13.147 Å; angles 29.01, 29.01, 29.01 degrees
Fractional coordinates of all 20 atoms:
Cs (0.125, 0.125, 0.125)
Cs (0.258, 0.258, 0.258)
Cs (0.742, 0.742, 0.742)
Cs (0.875, 0.875, 0.875)
I (0.000, 0.000, 0.000)
I (0.500, 0.500, 0.500)
Cl (0.426, 0.426, 0.426)
Cl (0.574, 0.574, 0.574)
F (0.132, 0.654, 0.654)
F (0.173, 0.173, 0.748)
F (0.173, 0.748, 0.173)
F (0.252, 0.827, 0.827)
F (0.346, 0.346, 0.868)
F (0.346, 0.868, 0.346)
F (0.654, 0.132, 0.654)
F (0.654, 0.654, 0.132)
F (0.748, 0.173, 0.173)
F (0.827, 0.252, 0.827)
F (0.827, 0.827, 0.252)
F (0.868, 0.346, 0.346)

Values from the calculation:
**Formation energy (no corrections)**: -181.9 kJ/mol of atoms
**DOS at the Fermi energy**: 0.000 states/eV per atom

---

Record 6
Compound: CaScCo4
Source: Alexandria
Functional: PBE
Structure: relaxed

Cell lengths 4.993, 4.993, 4.993 Å; angles 60.00, 60.00, 60.00 degrees
Fractional coordinates of all 6 atoms:
Ca (0.000, 0.000, 0.000)
Sc (0.250, 0.250, 0.250)
Co (0.127, 0.624, 0.624)
Co (0.624, 0.127, 0.624)
Co (0.624, 0.624, 0.127)
Co (0.624, 0.624, 0.624)

Values from the calculation:
**Calculated formation energy**: -0.5 eV per formula unit
**DOS at the Fermi energy**: 1.554 states/eV per atom

---

Record 7
Compound: CaEr3Os
Source: Alexandria
Functional: PBE
Structure: relaxed

Cell lengths 5.422, 5.422, 5.422 Å; angles 90.00, 90.00, 90.00 degrees
Fractional coordinates of all 5 atoms:
Ca (0.000, 0.000, 0.000)
Er (0.000, 0.500, 0.500)
Er (0.500, 0.000, 0.500)
Er (0.500, 0.500, 0.000)
Os (0.500, 0.500, 0.500)

Values from the calculation:
**Calculated formation energy**: -0.5 eV per formula unit
**DOS at the Fermi energy**: 0.535 states/eV per atom

---

Record 8
Compound: Ba2HfTa3O12
Source: Alexandria
Functional: PBE
Structure: relaxed

Cell lengths 7.524, 7.524, 7.524 Å; angles 60.17, 60.17, 60.17 degrees
Fractional coordinates of all 18 atoms:
Ba (0.179, 0.179, 0.179)
Ba (0.821, 0.821, 0.821)
Hf (0.500, 0.500, 0.500)
Ta (0.000, 0.500, 0.500)
Ta (0.500, 0.000, 0.500)
Ta (0.500, 0.500, 0.000)
O (0.171, 0.573, 0.573)
O (0.189, 0.189, 0.554)
O (0.189, 0.554, 0.189)
O (0.427, 0.427, 0.829)
O (0.427, 0.829, 0.427)
O (0.446, 0.811, 0.811)
O (0.554, 0.189, 0.189)
O (0.573, 0.171, 0.573)
O (0.573, 0.573, 0.171)
O (0.811, 0.446, 0.811)
O (0.811, 0.811, 0.446)
O (0.829, 0.427, 0.427)

Values from the calculation:
**Formation energy (no corrections)**: -277.8 kJ/mol of atoms
**DOS at the Fermi energy**: 0.709 states/eV per atom

---

Record 9
Compound: LiLaHg
Source: Alexandria
Functional: PBE
Structure: relaxed

Cell lengths 5.892, 5.892, 5.892 Å; angles 141.90, 141.74, 55.10 degrees
Fractional coordinates of all 3 atoms:
Li (0.000, 0.000, 0.000)
La (0.302, 0.302, 0.000)
Hg (0.619, 0.619, 0.000)

Values from the calculation:
**Calculated formation energy**: -0.8 eV per formula unit
**DOS at the Fermi energy**: 0.739 states/eV per atom

---

Record 10
Compound: Cs2KRbCu
Source: Alexandria
Functional: PBE
Structure: relaxed

Cell lengths 7.014, 7.014, 6.931 Å; angles 90.00, 90.00, 90.00 degrees
Fractional coordinates of all 5 atoms:
Cs (0.000, 0.500, 0.000)
Cs (0.500, 0.000, 0.000)
K (0.000, 0.000, 0.500)
Rb (0.500, 0.500, 0.500)
Cu (0.500, 0.500, 0.000)

Values from the calculation:
**Calculated formation energy**: 1.0 eV per formula unit
**DOS at the Fermi energy**: 0.982 states/eV per atom

---

Record 11
Compound: Zr3HgB
Source: Alexandria
Functional: PBE
Structure: relaxed

Cell lengths 4.652, 4.652, 4.652 Å; angles 90.00, 90.00, 90.00 degrees
Fractional coordinates of all 5 atoms:
Zr (0.000, 0.000, 0.500)
Zr (0.000, 0.500, 0.000)
Zr (0.500, 0.000, 0.000)
Hg (0.500, 0.500, 0.500)
B (0.000, 0.000, 0.000)

Values from the calculation:
**Calculated formation energy**: -1.5 eV per formula unit
**DOS at the Fermi energy**: 0.735 states/eV per atom

---

Record 12
Compound: AcCuF4
Source: Alexandria
Functional: PBE
Structure: relaxed

Cell lengths 7.262, 7.262, 7.262 Å; angles 133.26, 133.26, 68.24 degrees
Fractional coordinates of all 12 atoms:
Ac (0.375, 0.125, 0.250)
Ac (0.625, 0.875, 0.750)
Cu (0.125, 0.375, 0.750)
Cu (0.875, 0.625, 0.250)
F (0.047, 0.745, 0.887)
F (0.245, 0.859, 0.699)
F (0.340, 0.453, 0.199)
F (0.359, 0.160, 0.613)
F (0.641, 0.840, 0.387)
F (0.660, 0.547, 0.801)
F (0.755, 0.141, 0.301)
F (0.953, 0.255, 0.113)

Values from the calculation:
**Formation energy (no corrections)**: -294.5 kJ/mol of atoms

---

Number 1: size of the total moment 0.0 μB per formula unit. Number 2: size of the total moment 2.8 μB per formula unit. Number 3: size of the total moment 0.5 μB per formula unit. Number 4: size of the total moment 0.0 μB per formula unit. Number 5: size of the total moment 0.1 μB per formula unit. Number 6: size of the total moment 4.6 μB per formula unit. Number 7: size of the total moment 0.0 μB per formula unit. Number 8: size of the total moment 1.0 μB per formula unit. Number 9: size of the total moment 0.0 μB per formula unit. Number 10: size of the total moment 0.2 μB per formula unit. Number 11: size of the total moment 0.0 μB per formula unit. Number 12: size of the total moment 0.1 μB per formula unit.